No. 1
## HIr2Rh2 (GGA-PBE)

Data for a geometry-optimized HIr2Rh2 structure.

a b c (Å): 6.7366 6.7366 6.7366
angles (deg): 149.33 149.33 43.92
With the nearest neighbours (Å) after each atom.
Atoms (fractional coordinates):
H (0.0000, 0.0000, 0.0000)  8 Rh 2.80
Ir (0.2500, 0.7500, 0.5000)  4 Ir 2.52, 4 Rh 2.61
Ir (0.7500, 0.2500, 0.5000)  4 Ir 2.52, 4 Rh 2.61
Rh (0.4029, 0.4029, 0.0000)  1 Rh 2.43, 4 Ir 2.61
Rh (0.5971, 0.5971, 0.0000)  1 Rh 2.43, 4 Ir 2.61

Values from the calculation:
DFT total energy in eV per atom: -6.226
DOS at the Fermi energy in states/eV/atom: 0.839



No. 2
## H2Ir2Rh (GGA-PBE)

Data for a geometry-optimized H2Ir2Rh structure.

a b c (Å): 5.1623 5.1623 3.9606
angles (deg): 90.00 90.00 90.00
With the nearest neighbours (Å) after each atom.
Atoms (fractional coordinates):
H (0.1836, 0.3164, 0.0000)  2 Rh 1.89, 2 Ir 1.98
H (0.3164, 0.8164, 0.0000)  2 Rh 1.89, 2 Ir 1.98
H (0.6836, 0.1836, 0.0000)  2 Rh 1.89, 2 Ir 1.98
H (0.8164, 0.6836, 0.0000)  2 Rh 1.89, 2 Ir 1.98
Ir (0.1845, 0.3155, 0.5000)  2 H 1.98
Ir (0.3155, 0.8155, 0.5000)  2 H 1.98
Ir (0.6845, 0.1845, 0.5000)  2 H 1.98
Ir (0.8155, 0.6845, 0.5000)  2 H 1.98
Rh (0.0000, 0.0000, 0.0000)  4 H 1.89
Rh (0.5000, 0.5000, 0.0000)  4 H 1.89

Values from the calculation:
DFT total energy in eV per atom: -6.168
DOS at the Fermi energy in states/eV/atom: 0.966



What is the formula in the second record?
H2Ir2Rh